Cs2Sn2Bi: optimized geometry, PBE.

formation energy	179.2	meV/atom
total magnetization	0.0	μB/cell

Structure (CIF):
```
data_Cs2Sn2Bi
_symmetry_space_group_name_H-M 'I 4/m m m'
_symmetry_Int_Tables_number 139
_symmetry_space_group_name_Hall '-I 4 2'
_cell_length_a 5.284
_cell_length_b 5.284
_cell_length_c 15.881
_cell_angle_alpha 90.00
_cell_angle_beta 90.00
_cell_angle_gamma 90.00
loop_
_atom_site_label
_atom_site_type_symbol
_atom_site_fract_x
_atom_site_fract_y
_atom_site_fract_z
Cs1 Cs 0.000 0.500 0.250
Sn1 Sn 0.000 0.000 0.083
Bi1 Bi 0.000 0.000 0.500
```